# 1
! Na4Cu2AsP (PBE-GGA, relaxed); values from VASP
&SYSTEM
  ibrav = 0, nat = 8, ntyp = 4
/
ATOMIC_SPECIES
Na 22.99 Na.upf
Cu 63.55 Cu.upf
As 74.92 As.upf
P 30.97 P.upf
CELL_PARAMETERS angstrom
5.266 0.000 0.000
0.000 4.371 3.523
0.000 -4.371 3.523
ATOMIC_POSITIONS angstrom
Na 0.000 -2.857 3.523
Na 0.000 2.857 3.523
Na 2.633 -1.537 5.010
Na 2.633 1.537 5.010
Cu 1.324 0.000 2.447
Cu 3.942 0.000 2.447
As 0.000 0.000 4.391
P 2.633 0.000 0.636
! VASP energy   -3.22 eV/atom

---

# 2
! TmAuSO (PBE-GGA, relaxed); values from VASP
&SYSTEM
  ibrav = 0, nat = 8, ntyp = 4
/
ATOMIC_SPECIES
Tm 168.93 Tm.upf
Au 196.97 Au.upf
S 32.06 S.upf
O 16.00 O.upf
CELL_PARAMETERS angstrom
9.082 0.000 0.000
0.000 2.763 2.772
0.000 -2.763 2.772
ATOMIC_POSITIONS angstrom
Tm 1.067 -1.381 2.772
Tm 8.014 1.381 2.772
Au 4.541 0.000 0.006
Au 4.541 0.000 2.778
S 2.546 1.381 2.778
S 6.536 -1.381 2.778
O 0.000 0.000 1.386
O 0.000 0.000 4.158
! VASP energy   -6.13 eV/atom

---

# 3
! DyLuNi2As2 (PBE-GGA, relaxed); values from VASP
&SYSTEM
  ibrav = 0, nat = 12, ntyp = 4
/
ATOMIC_SPECIES
Dy 162.50 Dy.upf
Lu 174.97 Lu.upf
Ni 58.69 Ni.upf
As 74.92 As.upf
CELL_PARAMETERS angstrom
4.046 0.000 0.000
-2.023 3.504 0.000
0.000 0.000 15.068
ATOMIC_POSITIONS angstrom
Dy 0.000 0.000 0.000
Dy 0.000 0.000 7.534
Lu 0.000 0.000 3.767
Lu 0.000 0.000 11.301
Ni 0.000 2.336 2.106
Ni 0.000 2.336 5.428
Ni 2.023 1.168 9.640
Ni 2.023 1.168 12.962
As 0.000 2.336 9.366
As 0.000 2.336 13.236
As 2.023 1.168 1.832
As 2.023 1.168 5.702
! VASP energy   -5.99 eV/atom

---

# 4
! NaPrTc (PBE-GGA, relaxed); values from VASP
&SYSTEM
  ibrav = 0, nat = 3, ntyp = 3
/
ATOMIC_SPECIES
Na 22.99 Na.upf
Pr 140.91 Pr.upf
Tc 98.00 Tc.upf
CELL_PARAMETERS angstrom
0.000 3.384 3.384
3.384 0.000 3.384
3.384 3.384 0.000
ATOMIC_POSITIONS angstrom
Na 0.000 0.000 0.000
Pr 5.076 5.076 5.076
Tc 1.692 1.692 1.692
! VASP energy   -4.19 eV/atom

---

# 5
! PrIrPt (PBE-GGA, relaxed); values from VASP
&SYSTEM
  ibrav = 0, nat = 3, ntyp = 3
/
ATOMIC_SPECIES
Pr 140.91 Pr.upf
Ir 192.22 Ir.upf
Pt 195.08 Pt.upf
CELL_PARAMETERS angstrom
0.000 3.305 3.305
3.305 0.000 3.305
3.305 3.305 0.000
ATOMIC_POSITIONS angstrom
Pr 0.000 0.000 0.000
Ir 4.957 4.957 4.957
Pt 1.652 1.652 1.652
! E_form   240 meV per atom

---

# 6
! Pr2Bi2O5 (PBE-GGA, relaxed); values from VASP
&SYSTEM
  ibrav = 0, nat = 9, ntyp = 3
/
ATOMIC_SPECIES
Pr 140.91 Pr.upf
Bi 208.98 Bi.upf
O 16.00 O.upf
CELL_PARAMETERS angstrom
4.426 0.000 0.000
0.000 4.426 0.000
0.000 0.000 7.497
ATOMIC_POSITIONS angstrom
Pr 0.000 0.000 0.000
Pr 0.000 0.000 3.749
Bi 2.213 2.213 1.616
Bi 2.213 2.213 5.881
O 0.000 2.213 2.012
O 0.000 2.213 5.485
O 2.213 0.000 2.012
O 2.213 0.000 5.485
O 2.213 2.213 3.749
! VASP energy   -6.25 eV/atom

---

# 7
! ZnCd2Ge (PBE-GGA, relaxed); values from VASP
&SYSTEM
  ibrav = 0, nat = 4, ntyp = 3
/
ATOMIC_SPECIES
Zn 65.41 Zn.upf
Cd 112.41 Cd.upf
Ge 72.64 Ge.upf
CELL_PARAMETERS angstrom
0.000 3.448 3.448
3.448 0.000 3.448
3.448 3.448 0.000
ATOMIC_POSITIONS angstrom
Zn 0.000 0.000 0.000
Cd 1.724 1.724 1.724
Cd 3.448 3.448 3.448
Ge 5.172 5.172 5.172
! VASP energy   -1.73 eV/atom

---

# 8
! Tm3Ga2Ni6 (PBE-GGA, relaxed); values from VASP
&SYSTEM
  ibrav = 0, nat = 22, ntyp = 3
/
ATOMIC_SPECIES
Tm 168.93 Tm.upf
Ga 69.72 Ga.upf
Ni 58.69 Ni.upf
CELL_PARAMETERS angstrom
-4.415 4.415 4.415
4.415 -4.415 4.415
4.415 4.415 -4.415
ATOMIC_POSITIONS angstrom
Tm 2.573 0.000 0.000
Tm 6.258 0.000 0.000
Tm 0.000 2.573 0.000
Tm 0.000 0.000 2.573
Tm 0.000 6.258 0.000
Tm 0.000 0.000 6.258
Ga 2.208 2.208 -2.208
Ga 2.208 -2.208 2.208
Ga -2.208 2.208 2.208
Ga 2.208 2.208 2.208
Ni 4.415 1.440 -1.440
Ni 4.415 -1.440 1.440
Ni 4.415 1.440 1.440
Ni 1.440 4.415 -1.440
Ni 2.975 2.975 0.000
Ni 1.440 -1.440 4.415
Ni 2.975 0.000 2.975
Ni -1.440 4.415 1.440
Ni 1.440 4.415 1.440
Ni -1.440 1.440 4.415
Ni 1.440 1.440 4.415
Ni 0.000 2.975 2.975
! VASP energy   -5.40 eV/atom

---

# 9
! Ho2Er2InSi4Ni2 (PBE-GGA, relaxed); values from VASP
&SYSTEM
  ibrav = 0, nat = 11, ntyp = 5
/
ATOMIC_SPECIES
Ho 164.93 Ho.upf
Er 167.26 Er.upf
In 114.82 In.upf
Si 28.09 Si.upf
Ni 58.69 Ni.upf
CELL_PARAMETERS angstrom
7.574 -2.078 0.000
7.574 2.078 0.000
-2.224 0.000 6.549
ATOMIC_POSITIONS angstrom
Ho 1.381 0.000 2.865
Ho 11.542 0.000 3.684
Er -0.619 0.000 5.818
Er 13.543 0.000 0.731
In 6.462 0.000 3.274
Si 3.958 0.000 1.462
Si 4.715 0.000 5.532
Si 8.209 0.000 1.017
Si 8.965 0.000 5.087
Ni 2.384 0.000 5.640
Ni 10.540 0.000 0.909
! VASP energy   -5.69 eV/atom

---

# 10
! SmGeO3 (PBE-GGA, relaxed); values from VASP
&SYSTEM
  ibrav = 0, nat = 10, ntyp = 3
/
ATOMIC_SPECIES
Sm 150.36 Sm.upf
Ge 72.64 Ge.upf
O 16.00 O.upf
CELL_PARAMETERS angstrom
2.830 1.634 4.831
-2.830 1.634 4.831
0.000 -3.268 4.831
ATOMIC_POSITIONS angstrom
Sm 0.000 0.000 1.901
Sm 0.000 0.000 12.593
Ge 0.000 0.000 5.054
Ge 0.000 0.000 9.439
O -1.201 -1.511 5.938
O -1.909 0.284 8.555
O -0.708 1.795 5.938
O 0.708 -1.795 8.555
O 1.909 -0.284 5.938
O 1.201 1.511 8.555
! VASP energy   -6.98 eV/atom

---

# 11
! Nb4NiPbC2 (PBE-GGA, relaxed); values from VASP
&SYSTEM
  ibrav = 0, nat = 8, ntyp = 4
/
ATOMIC_SPECIES
Nb 92.91 Nb.upf
Ni 58.69 Ni.upf
Pb 207.20 Pb.upf
C 12.01 C.upf
CELL_PARAMETERS angstrom
3.204 0.000 0.000
-1.602 2.774 0.000
0.000 0.000 13.629
ATOMIC_POSITIONS angstrom
Nb 0.000 0.000 1.936
Nb 0.000 0.000 11.693
Nb 1.602 0.925 4.345
Nb 1.602 0.925 9.285
Ni 1.602 0.925 0.000
Pb 0.000 0.000 6.815
C 0.000 1.850 3.136
C 0.000 1.850 10.493
! VASP energy   -8.75 eV/atom

---

# 12
! LiLuSeO (PBE-GGA, relaxed); values from VASP
&SYSTEM
  ibrav = 0, nat = 8, ntyp = 4
/
ATOMIC_SPECIES
Li 6.94 Li.upf
Lu 174.97 Lu.upf
Se 78.96 Se.upf
O 16.00 O.upf
CELL_PARAMETERS angstrom
3.748 0.000 0.000
0.000 6.164 0.000
0.000 0.000 6.489
ATOMIC_POSITIONS angstrom
Li 0.000 0.923 0.000
Li 0.000 5.241 3.245
Lu 1.874 2.897 2.028
Lu 1.874 3.267 5.272
Se 0.000 1.640 3.738
Se 0.000 4.523 0.493
O 1.874 1.734 0.268
O 1.874 4.429 3.513
! VASP energy   -5.92 eV/atom